First-principles (GGA-PBE) data for an optimized crystal structure of Ho4ErCu4, as listed in the Alexandria database.

Lattice parameters (Å, degrees): 8.5946 8.5946 5.8306 90.00 90.00 90.00
Last column: nearest neighbours and their distance in Å.
Positions (direct):
Ho: 0.0561 0.6637 0.1506  5 Cu 2.76-3.08
Ho: 0.1637 0.9439 0.6506  5 Cu 2.76-3.08
Ho: 0.3363 0.5561 0.6506  5 Cu 2.76-3.08
Ho: 0.4439 0.8363 0.1506  5 Cu 2.76-3.08
Ho: 0.5561 0.1637 0.8494  5 Cu 2.76-3.08
Ho: 0.6637 0.4439 0.3494  5 Cu 2.76-3.08
Ho: 0.8363 0.0561 0.3494  5 Cu 2.76-3.08
Ho: 0.9439 0.3363 0.8494  5 Cu 2.76-3.08
Er: 0.2500 0.2500 0.2500  4 Cu 2.68
Er: 0.7500 0.7500 0.7500  4 Cu 2.68
Cu: 0.0221 0.6203 0.6290  1 Cu 2.58, 1 Er 2.68, 3 Ho 2.76-2.84
Cu: 0.1203 0.9779 0.1290  1 Cu 2.58, 1 Er 2.68, 3 Ho 2.76-2.84
Cu: 0.3797 0.5221 0.1290  1 Cu 2.58, 1 Er 2.68, 3 Ho 2.76-2.84
Cu: 0.4779 0.8797 0.6290  1 Cu 2.58, 1 Er 2.68, 3 Ho 2.76-2.84
Cu: 0.5221 0.1203 0.3710  1 Cu 2.58, 1 Er 2.68, 3 Ho 2.76-2.84
Cu: 0.6203 0.4779 0.8710  1 Cu 2.58, 1 Er 2.68, 3 Ho 2.76-2.84
Cu: 0.8797 0.0221 0.8710  1 Cu 2.58, 1 Er 2.68, 3 Ho 2.76-2.84
Cu: 0.9779 0.3797 0.3710  1 Cu 2.58, 1 Er 2.68, 3 Ho 2.76-2.84

* energy of formation: -0.04 eV per atom


First-principles (GGA-PBE) data for an optimized crystal structure of Mg2Cu5Pd12, as listed in the Alexandria database.

Lattice parameters (Å, degrees): 7.1446 7.1446 6.4768 97.23 97.23 64.84
Last column: nearest neighbours and their distance in Å.
Positions (direct):
Mg: 0.2291 0.7709 0.0000  4 Pd 2.65-2.72, 2 Cu 2.83
Mg: 0.7709 0.2291 0.0000  4 Pd 2.65-2.72, 2 Cu 2.83
Cu: 0.0000 0.0000 0.5000  6 Pd 2.54-2.59, 2 Cu 2.64
Cu: 0.2200 0.2200 0.5143  2 Cu 2.53-2.64, 7 Pd 2.55-2.64
Cu: 0.3465 0.3465 0.8632  1 Cu 2.53, 7 Pd 2.56-2.71, 2 Mg 2.83
Cu: 0.6535 0.6535 0.1368  1 Cu 2.53, 7 Pd 2.56-2.71, 2 Mg 2.83
Cu: 0.7800 0.7800 0.4857  2 Cu 2.53-2.64, 7 Pd 2.55-2.64
Pd: 0.0691 0.4281 0.1836  3 Cu 2.61-2.89, 7 Pd 2.62-2.88
Pd: 0.1304 0.1304 0.8464  3 Cu 2.54-2.59, 2 Mg 2.65, 2 Pd 2.79
Pd: 0.1793 0.6075 0.5555  4 Cu 2.59-2.70, 5 Pd 2.70-2.78
Pd: 0.3925 0.8207 0.4445  4 Cu 2.59-2.70, 5 Pd 2.70-2.78
Pd: 0.4281 0.0691 0.1836  3 Cu 2.61-2.89, 7 Pd 2.62-2.88
Pd: 0.4484 0.4484 0.2391  2 Cu 2.56-2.66, 6 Pd 2.71-2.78, 2 Mg 2.72
Pd: 0.5516 0.5516 0.7609  2 Cu 2.56-2.66, 6 Pd 2.71-2.78, 2 Mg 2.72
Pd: 0.5719 0.9309 0.8164  3 Cu 2.61-2.89, 7 Pd 2.62-2.88
Pd: 0.6075 0.1793 0.5555  4 Cu 2.59-2.70, 5 Pd 2.70-2.78
Pd: 0.8207 0.3925 0.4445  4 Cu 2.59-2.70, 5 Pd 2.70-2.78
Pd: 0.8696 0.8696 0.1536  3 Cu 2.54-2.59, 2 Mg 2.65, 2 Pd 2.79
Pd: 0.9309 0.5719 0.8164  3 Cu 2.61-2.89, 7 Pd 2.62-2.88

* energy of formation: -0.10 eV per atom


First-principles (GGA-PBE) data for an optimized crystal structure of Ti6Co5Ru, as listed in the Alexandria database.

Lattice parameters (Å, degrees): 7.3406 7.3406 7.3406 146.41 131.72 60.10
Last column: nearest neighbours and their distance in Å.
Positions (direct):
Ti: 0.0793 0.3313 0.7479  7 Co 2.57-2.61, 1 Ru 2.62
Ti: 0.2456 0.0000 0.2456  6 Co 2.58-2.61, 2 Ru 2.61
Ti: 0.4166 0.6687 0.7479  7 Co 2.57-2.61, 1 Ru 2.62
Ti: 0.5834 0.3313 0.2521  7 Co 2.57-2.61, 1 Ru 2.62
Ti: 0.7544 0.0000 0.7544  6 Co 2.58-2.61, 2 Ru 2.61
Ti: 0.9207 0.6687 0.2521  7 Co 2.57-2.61, 1 Ru 2.62
Co: 0.0000 0.5000 0.5000  8 Ti 2.58-2.61
Co: 0.1671 0.1671 0.0000  8 Ti 2.58-2.59
Co: 0.3332 0.8332 0.5000  8 Ti 2.57-2.61
Co: 0.6668 0.1668 0.5000  8 Ti 2.57-2.61
Co: 0.8329 0.8329 0.0000  8 Ti 2.58-2.59
Ru: 0.5000 0.5000 0.0000  8 Ti 2.61-2.62

* energy of formation: -0.44 eV per atom


First-principles (GGA-PBE) data for an optimized crystal structure of ScReHg2W, as listed in the Alexandria database.

Lattice parameters (Å, degrees): 5.2482 5.2482 4.7327 90.00 90.00 90.00
Last column: nearest neighbours and their distance in Å.
Positions (direct):
Sc: 0.0000 0.0000 0.0000  2 Re 2.37
Re: 0.0000 0.0000 0.5000  2 Sc 2.37, 4 Hg 2.62
Hg: 0.0000 0.5000 0.5000  2 Re 2.62
Hg: 0.5000 0.0000 0.5000  2 Re 2.62
W: 0.5000 0.5000 0.0000  8 Hg 3.53, 4 Sc 3.71

* energy of formation: 1.75 eV per atom


First-principles (GGA-PBE) data for an optimized crystal structure of MgPdS, as listed in the Alexandria database.

Lattice parameters (Å, degrees): 4.1882 4.1882 9.1764 90.00 90.00 120.00
Last column: nearest neighbours and their distance in Å.
Positions (direct):
Mg: 0.3333 0.6667 0.2500  3 S 2.42
Mg: 0.6667 0.3333 0.7500  3 S 2.42
Pd: 0.0000 0.0000 0.0000  2 S 2.29
Pd: 0.0000 0.0000 0.5000  2 S 2.29
S: 0.0000 0.0000 0.2500  2 Pd 2.29, 3 Mg 2.42
S: 0.0000 0.0000 0.7500  2 Pd 2.29, 3 Mg 2.42

* uncorrected formation energy: -0.547 eV/atom


First-principles (GGA-PBE) data for an optimized crystal structure of BaMg, as listed in the Alexandria database.

Lattice parameters (Å, degrees): 11.5114 11.5114 5.1797 90.00 90.00 120.00
Last column: nearest neighbours and their distance in Å.
Positions (direct):
Ba: 0.1100 0.6892 0.2500  4 Mg 3.63-3.86
Ba: 0.3108 0.4209 0.2500  4 Mg 3.63-3.86
Ba: 0.4209 0.1100 0.7500  4 Mg 3.63-3.86
Ba: 0.5791 0.8900 0.2500  4 Mg 3.63-3.86
Ba: 0.6892 0.5791 0.7500  4 Mg 3.63-3.86
Ba: 0.8900 0.3108 0.7500  4 Mg 3.63-3.86
Mg: 0.0390 0.8659 0.7500  6 Mg 3.14-3.16
Mg: 0.1341 0.1731 0.7500  6 Mg 3.14-3.16
Mg: 0.1731 0.0390 0.2500  6 Mg 3.14-3.16
Mg: 0.8269 0.9610 0.7500  6 Mg 3.14-3.16
Mg: 0.8659 0.8269 0.2500  6 Mg 3.14-3.16
Mg: 0.9610 0.1341 0.2500  6 Mg 3.14-3.16

* energy of formation: 0.08 eV per atom


First-principles (GGA-PBE) data for an optimized crystal structure of TePdOF2, as listed in the Alexandria database.

Lattice parameters (Å, degrees): 4.1929 4.1929 4.2799 90.00 90.00 90.00
Last column: nearest neighbours and their distance in Å.
Positions (direct):
Te: 0.0000 0.0000 0.0000  4 O 2.96, 8 F 3.00
Pd: 0.5000 0.5000 0.5000  4 F 2.10, 2 O 2.14
O: 0.5000 0.5000 0.0000  2 Pd 2.14
F: 0.0000 0.5000 0.5000  2 Pd 2.10
F: 0.5000 0.0000 0.5000  2 Pd 2.10

* energy above the most stable polymorph in this dataset: 261.5 meV/atom
* uncorrected formation energy: -0.383 eV/atom


First-principles (GGA-PBE) data for an optimized crystal structure of Co2Sb, as listed in the Alexandria database.

Lattice parameters (Å, degrees): 10.0398 2.9883 6.2847 90.00 111.74 90.00
Last column: nearest neighbours and their distance in Å.
Positions (direct):
Co: 0.0472 0.0000 0.2889  4 Co 2.54-2.59, 5 Sb 2.68-2.78
Co: 0.1259 0.5000 0.0305  5 Co 2.41-2.59, 3 Sb 2.52-2.66
Co: 0.3741 0.0000 0.9695  5 Co 2.41-2.59, 3 Sb 2.52-2.66
Co: 0.4528 0.5000 0.7111  4 Co 2.54-2.59, 5 Sb 2.68-2.78
Co: 0.5472 0.5000 0.2889  4 Co 2.54-2.59, 5 Sb 2.68-2.78
Co: 0.6259 0.0000 0.0305  5 Co 2.41-2.59, 3 Sb 2.52-2.66
Co: 0.8741 0.5000 0.9695  5 Co 2.41-2.59, 3 Sb 2.52-2.66
Co: 0.9528 0.0000 0.7111  4 Co 2.54-2.59, 5 Sb 2.68-2.78
Sb: 0.1743 0.5000 0.6648  8 Co 2.52-2.78
Sb: 0.3257 0.0000 0.3352  8 Co 2.52-2.78
Sb: 0.6743 0.0000 0.6648  8 Co 2.52-2.78
Sb: 0.8257 0.5000 0.3352  8 Co 2.52-2.78

* uncorrected formation energy: 0.232 eV/atom


First-principles (GGA-PBE) data for an optimized crystal structure of BeReN2F, as listed in the Alexandria database.

Lattice parameters (Å, degrees): 3.8718 3.8718 4.0997 90.00 90.00 90.00
Last column: nearest neighbours and their distance in Å.
Positions (direct):
Be: 0.0000 0.0000 0.0000  4 F 2.74, 8 N 2.82
Re: 0.5000 0.5000 0.5000  4 N 1.94, 2 F 2.05
N: 0.0000 0.5000 0.5000  2 Re 1.94
N: 0.5000 0.0000 0.5000  2 Re 1.94
F: 0.5000 0.5000 0.0000  2 Re 2.05

* energy above the most stable polymorph in this dataset: 31.8 meV/atom
* uncorrected formation energy: 0.434 eV/atom


First-principles (GGA-PBE) data for an optimized crystal structure of LaTcRh2, as listed in the Alexandria database.

Lattice parameters (Å, degrees): 9.4912 2.9983 5.1879 90.00 99.78 90.00
Last column: nearest neighbours and their distance in Å.
Positions (direct):
La: 0.0000 0.0000 0.0000  7 Rh 2.78-3.06, 2 La 3.00, 1 Tc 3.05
La: 0.5000 0.5000 0.0000  7 Rh 2.78-3.06, 2 La 3.00, 1 Tc 3.05
Tc: 0.2694 0.5000 0.3453  5 Rh 2.64-2.78
Tc: 0.7694 0.0000 0.3453  5 Rh 2.64-2.78
Rh: 0.2372 0.0000 0.7505  2 Tc 2.64, 1 La 2.78, 2 Rh 2.86
Rh: 0.4992 0.0000 0.4859  3 Tc 2.65-2.78, 2 Rh 2.86, 2 La 2.93
Rh: 0.7372 0.5000 0.7505  2 Tc 2.64, 1 La 2.78, 2 Rh 2.86
Rh: 0.9992 0.5000 0.4859  3 Tc 2.65-2.78, 2 Rh 2.86, 2 La 2.93

* energy above the most stable polymorph in this dataset: 60.5 meV/atom
* energy of formation: 0.00 eV per atom


First-principles (GGA-PBE) data for an optimized crystal structure of MgTa3, as listed in the Alexandria database.

Lattice parameters (Å, degrees): 3.3979 3.3979 6.5308 90.00 90.00 90.00
Last column: nearest neighbours and their distance in Å.
Positions (direct):
Mg: 0.0000 0.0000 0.0000  10 Ta 2.99-3.27
Ta: 0.0000 0.0000 0.5000  8 Ta 2.82
Ta: 0.5000 0.5000 0.2733  5 Ta 2.82-2.96, 4 Mg 2.99
Ta: 0.5000 0.5000 0.7267  5 Ta 2.82-2.96, 4 Mg 2.99

* energy above the most stable polymorph in this dataset: 78.4 meV/atom
* energy of formation: 0.21 eV per atom


First-principles (GGA-PBE) data for an optimized crystal structure of CaNiRh2, as listed in the Alexandria database.

Lattice parameters (Å, degrees): 3.1379 3.1379 6.7972 90.00 90.00 90.00
Last column: nearest neighbours and their distance in Å.
Positions (direct):
Ca: 0.0000 0.0000 0.0000  4 Ni 3.03, 5 Rh 3.03-3.22, 4 Ca 3.14
Ni: 0.5000 0.5000 0.3030  5 Rh 2.50-2.67
Rh: 0.0000 0.0000 0.4737  4 Ni 2.50, 4 Rh 2.68
Rh: 0.5000 0.5000 0.6961  1 Ni 2.67, 4 Rh 2.68

* energy above the most stable polymorph in this dataset: 57.1 meV/atom
* energy of formation: 0.06 eV per atom